# Sc4SnPb GGA-PBE optimized geometry
data_Sc4SnPb
_chemical_formula_sum 'Sc16 Sn4 Pb4'
_symmetry_space_group_name_H-M 'C 1 2/c 1'
_symmetry_Int_Tables_number 15
_cell_length_a 8.1017
_cell_length_b 12.6366
_cell_length_c 6.0767
_cell_angle_alpha 90.00
_cell_angle_beta 109.39
_cell_angle_gamma 90.00
loop_
_symmetry_equiv_pos_as_xyz
'x,y,z'
'-x,-y,-z'
'-x,y,-z+1/2'
'x,-y,z+1/2'
'x+1/2,y+1/2,z'
'-x+1/2,-y+1/2,-z'
'-x+1/2,y+1/2,-z+1/2'
'x+1/2,-y+1/2,z+1/2'
loop_
_atom_site_label
_atom_site_type_symbol
_atom_site_fract_x
_atom_site_fract_y
_atom_site_fract_z
Sc1 Sc 0.0929 0.1939 0.0578
Sc2 Sc 0.1964 0.3966 0.3921
Sn1 Sn 0.0000 0.0047 0.7500
Pb1 Pb 0.0000 0.3898 0.7500
# - Magnetic moment: 0.00 μB/f.u.
# - Density of states at the Fermi level: 32.03 states/eV per cell
# - Calculated formation energy: -0.36 eV per atom
# - E_tot: -35.21 eV per formula unit

---

# NdThCuNi GGA-PBE optimized geometry
data_NdThCuNi
_chemical_formula_sum 'Nd2 Th2 Cu2 Ni2'
_symmetry_space_group_name_H-M 'A m m 2'
_symmetry_Int_Tables_number 38
_cell_length_a 4.2686
_cell_length_b 3.7686
_cell_length_c 11.3073
_cell_angle_alpha 90.00
_cell_angle_beta 90.00
_cell_angle_gamma 90.00
loop_
_symmetry_equiv_pos_as_xyz
'x,y,z'
'-x,-y,z'
'-x,y,z'
'x,-y,z'
'x,y+1/2,z+1/2'
'-x,-y+1/2,z+1/2'
'-x,y+1/2,z+1/2'
'x,-y+1/2,z+1/2'
loop_
_atom_site_label
_atom_site_type_symbol
_atom_site_fract_x
_atom_site_fract_y
_atom_site_fract_z
Nd1 Nd 0.0000 0.0000 0.0000
Th1 Th 0.5000 0.0000 0.7270
Cu1 Cu 0.5000 0.0000 0.4278
Ni1 Ni 0.0000 0.0000 0.2751
# - Magnetic moment: 0.00 μB/f.u.
# - Density of states at the Fermi level: 7.30 states/eV per cell
# - Calculated formation energy: -0.26 eV per atom
# - Energy above the most stable polymorph in this dataset: 0 meV/atom
# - E_tot: -23.12 eV per formula unit

---

# CdCu3Au7 GGA-PBE optimized geometry
data_CdCu3Au7
_chemical_formula_sum 'Cd2 Cu6 Au14'
_symmetry_space_group_name_H-M 'C 1 2/m 1'
_symmetry_Int_Tables_number 12
_cell_length_a 8.3465
_cell_length_b 9.5841
_cell_length_c 5.4642
_cell_angle_alpha 90.00
_cell_angle_beta 112.44
_cell_angle_gamma 90.00
loop_
_symmetry_equiv_pos_as_xyz
'x,y,z'
'-x,-y,-z'
'-x,y,-z'
'x,-y,z'
'x+1/2,y+1/2,z'
'-x+1/2,-y+1/2,-z'
'-x+1/2,y+1/2,-z'
'x+1/2,-y+1/2,z'
loop_
_atom_site_label
_atom_site_type_symbol
_atom_site_fract_x
_atom_site_fract_y
_atom_site_fract_z
Cd1 Cd 0.0000 0.0000 0.0000
Cu1 Cu 0.0000 0.2686 0.5000
Cu2 Cu 0.0000 0.5000 0.0000
Au1 Au 0.0000 0.0000 0.5000
Au2 Au 0.1750 0.2675 0.1856
Au3 Au 0.1770 0.5000 0.5384
# - Magnetic moment: 0.00 μB/f.u.
# - Density of states at the Fermi level: 6.08 states/eV per cell
# - Calculated formation energy: 0.07 eV per atom
# - E_tot: -35.38 eV per formula unit